Entry from Alexandria: an optimized crystal structure of ScAlTc3 (PBEsol).

SG: Pm-3m
Crystal system: cubic
Calculated formation energy: 1.756 eV per atom
Calculated density: 6.71 g/cm³
N(E_F): 6.8 states/eV/f.u.

a = 4.4902 Å, b = 4.4902 Å, c = 4.4902 Å
α = 90.00°, β = 90.00°, γ = 90.00°
Fractional positions:
Sc: 0.0000 0.0000 0.0000
Al: 0.5000 0.5000 0.5000
Tc: 0.0000 0.0000 0.5000
Tc: 0.0000 0.5000 0.0000
Tc: 0.5000 0.0000 0.0000

Entry from Alexandria: an optimized crystal structure of LiIr3Cl (PBEsol).

SG: Pm-3m
Crystal system: cubic
Calculated density: 12.33 g/cm³
N(E_F): 6.8 states/eV/f.u.
Uncorrected energy: -5.33 eV per atom

a = 4.3683 Å, b = 4.3683 Å, c = 4.3683 Å
α = 90.00°, β = 90.00°, γ = 90.00°
Fractional positions:
Li: 0.0000 0.0000 0.0000
Ir: 0.0000 0.5000 0.5000
Ir: 0.5000 0.0000 0.5000
Ir: 0.5000 0.5000 0.0000
Cl: 0.5000 0.5000 0.5000

Entry from Alexandria: an optimized crystal structure of Li4V2Co3Sb3O16 (PBEsol).

SG: Cm
Crystal system: monoclinic
Calculated density: 5.17 g/cm³
N(E_F): 7.8 states/eV/f.u.
Uncorrected energy: -6.88 eV per atom

a = 6.0898 Å, b = 6.0898 Å, c = 9.4036 Å
α = 90.54°, β = 90.54°, γ = 58.68°
Fractional positions:
Li: 0.0000 0.0000 0.0000
Li: 0.0154 0.0154 0.5322
Li: 0.2936 0.2936 0.6178
Li: 0.6601 0.6601 0.1151
V: 0.3049 0.3049 0.0111
V: 0.6134 0.6134 0.5568
Co: 0.1598 0.1598 0.2985
Co: 0.3391 0.7729 0.7901
Co: 0.7729 0.3391 0.7901
Sb: 0.1605 0.6552 0.2977
Sb: 0.6552 0.1605 0.2977
Sb: 0.8095 0.8095 0.8008
O: 0.0363 0.4801 0.1684
O: 0.1512 0.6348 0.9192
O: 0.1662 0.1662 0.9234
O: 0.3216 0.8102 0.4182
O: 0.3245 0.3245 0.4106
O: 0.4735 0.4735 0.6558
O: 0.4764 0.4764 0.1699
O: 0.4801 0.0363 0.1684
O: 0.5015 0.9286 0.6616
O: 0.6348 0.1512 0.9192
O: 0.6468 0.6468 0.9089
O: 0.8102 0.3216 0.4182
O: 0.8380 0.8380 0.4149
O: 0.9286 0.5015 0.6616
O: 0.9826 0.9826 0.7182
O: 0.9925 0.9925 0.1920

Entry from Alexandria: an optimized crystal structure of YMg2Cd (PBEsol).

SG: P2/m
Crystal system: monoclinic
Calculated formation energy: -0.124 eV per atom
Calculated density: 4.33 g/cm³
N(E_F): 2.4 states/eV/f.u.

a = 3.2826 Å, b = 4.9967 Å, c = 5.9214 Å
α = 90.00°, β = 99.40°, γ = 90.00°
Fractional positions:
Y: 0.0000 0.0000 0.0000
Mg: 0.3647 0.5000 0.7386
Mg: 0.6353 0.5000 0.2614
Cd: 0.5000 0.0000 0.5000

Entry from Alexandria: an optimized crystal structure of CdSiPt2 (PBEsol).

SG: I4/mmm
Crystal system: tetragonal
Calculated density: 14.23 g/cm³
N(E_F): 2.2 states/eV/f.u.
Uncorrected energy: -5.42 eV per atom

a = 4.0372 Å, b = 4.0372 Å, c = 7.5985 Å
α = 90.00°, β = 90.00°, γ = 90.00°
Fractional positions:
Cd: 0.0000 0.0000 0.0000
Cd: 0.5000 0.5000 0.5000
Si: 0.0000 0.0000 0.5000
Si: 0.5000 0.5000 0.0000
Pt: 0.0000 0.5000 0.2500
Pt: 0.0000 0.5000 0.7500
Pt: 0.5000 0.0000 0.2500
Pt: 0.5000 0.0000 0.7500

Entry from Alexandria: an optimized crystal structure of ZrNbRh2 (PBEsol).

SG: Fm-3m
Crystal system: cubic
Calculated formation energy: -0.431 eV per atom
Calculated density: 9.83 g/cm³
N(E_F): 5.0 states/eV/f.u.

a = 6.4110 Å, b = 6.4110 Å, c = 6.4110 Å
α = 90.00°, β = 90.00°, γ = 90.00°
Fractional positions:
Zr: 0.0000 0.0000 0.0000
Zr: 0.0000 0.5000 0.5000
Zr: 0.5000 0.0000 0.5000
Zr: 0.5000 0.5000 0.0000
Nb: 0.0000 0.0000 0.5000
Nb: 0.0000 0.5000 0.0000
Nb: 0.5000 0.0000 0.0000
Nb: 0.5000 0.5000 0.5000
Rh: 0.2500 0.2500 0.2500
Rh: 0.2500 0.2500 0.7500
Rh: 0.2500 0.7500 0.2500
Rh: 0.2500 0.7500 0.7500
Rh: 0.7500 0.2500 0.2500
Rh: 0.7500 0.2500 0.7500
Rh: 0.7500 0.7500 0.2500
Rh: 0.7500 0.7500 0.7500